[1]
Ho4IO10 PBE optimized geometry; ΔE_f (raw) = -2.316 eV per atom; crystal system = tetragonal; total moment = 0.0 μB/cell; total energy = -6.946 eV per atom
1.0
4.904 0.000 2.214
2.452 5.911 1.107
0.019 0.000 6.495
Ho I O
4 1 10
Direct
0.403 0.791 0.402
0.806 0.598 0.791
0.194 0.402 0.209
0.597 0.209 0.598
0.000 0.000 0.000
0.250 0.500 0.500
0.671 0.283 0.918
0.046 0.082 0.283
0.411 0.918 0.717
0.872 0.717 0.082
0.329 0.717 0.082
0.750 0.500 0.500
0.128 0.283 0.918
0.589 0.082 0.283
0.954 0.918 0.717

[2]
PrHoIO6 PBE optimized geometry; ΔE_f (raw) = -2.026 eV per atom; crystal system = trigonal; total moment = 0.5 μB/cell; total energy = -6.543 eV per atom
1.0
-5.523 1.073 0.520
2.325 -4.291 2.848
1.915 6.134 7.679
Pr Ho I O
2 2 2 12
Direct
0.000 0.000 0.000
0.000 0.000 0.500
0.333 0.667 0.250
0.667 0.333 0.750
0.667 0.333 0.250
0.333 0.667 0.750
0.661 0.628 0.138
0.967 0.339 0.138
0.339 0.967 0.638
0.033 0.661 0.862
0.372 0.339 0.362
0.967 0.628 0.362
0.628 0.967 0.862
0.661 0.033 0.362
0.033 0.372 0.638
0.372 0.033 0.138
0.628 0.661 0.638
0.339 0.372 0.862

[3]
RbHoIO6 PBE optimized geometry; ΔE_f (raw) = -1.394 eV per atom; crystal system = trigonal; total moment = 1.1 μB/cell; total energy = -5.488 eV per atom
1.0
5.715 0.000 0.000
2.858 4.949 0.000
0.000 0.000 6.129
Rb Ho I O
1 1 1 6
Direct
0.000 0.000 0.000
0.667 0.667 0.500
0.333 0.333 0.500
0.047 0.362 0.323
0.362 0.047 0.677
0.591 0.362 0.677
0.047 0.591 0.677
0.362 0.591 0.323
0.591 0.047 0.323

[4]
Rb2HoIO6 PBE optimized geometry; ΔE_f (raw) = -1.543 eV per atom; crystal system = trigonal; total moment = 0.0 μB/cell; total energy = -5.325 eV per atom
1.0
-1.184 -5.297 2.129
1.822 -2.694 -5.688
4.416 0.923 4.751
Rb Ho I O
2 1 1 6
Direct
0.115 0.333 0.667
0.885 0.667 0.333
0.500 0.000 0.000
0.000 0.000 0.000
0.798 0.134 0.268
0.798 0.134 0.866
0.798 0.732 0.866
0.202 0.866 0.134
0.202 0.268 0.134
0.202 0.866 0.732

[5]
Sm2HoIO8 PBE optimized geometry; ΔE_f (raw) = -2.292 eV per atom; crystal system = orthorhombic; total moment = 0.0 μB/cell; total energy = -6.894 eV per atom
1.0
5.115 -0.061 -0.003
-0.037 5.113 -0.006
0.004 0.008 6.901
Sm Ho I O
2 1 1 8
Direct
0.500 0.500 0.750
0.500 0.500 0.250
0.000 0.000 0.500
0.000 0.000 0.000
0.176 0.823 0.207
0.736 0.737 0.000
0.824 0.177 0.207
0.824 0.177 0.793
0.264 0.263 0.000
0.176 0.823 0.793
0.696 0.696 0.500
0.304 0.304 0.500

[6]
SrHoIO6 PBE optimized geometry; ΔE_f (raw) = -1.926 eV per atom; crystal system = trigonal; total moment = 0.0 μB/cell; total energy = -6.099 eV per atom
1.0
-0.365 5.287 -1.905
-2.042 -1.309 5.082
9.159 2.157 4.236
Sr Ho I O
2 2 2 12
Direct
0.000 0.000 0.000
0.000 0.000 0.500
0.333 0.667 0.250
0.667 0.333 0.750
0.667 0.333 0.250
0.333 0.667 0.750
0.652 0.605 0.145
0.953 0.348 0.145
0.348 0.953 0.645
0.047 0.652 0.855
0.395 0.348 0.355
0.953 0.605 0.355
0.605 0.953 0.855
0.652 0.047 0.355
0.047 0.395 0.645
0.395 0.047 0.145
0.605 0.652 0.645
0.348 0.395 0.855

[7]
TbHo2IO8 PBE optimized geometry; ΔE_f (raw) = -2.356 eV per atom; crystal system = orthorhombic; total moment = 0.0 μB/cell; total energy = -6.939 eV per atom
1.0
5.016 -0.040 -0.003
-0.010 5.014 -0.006
0.004 0.008 6.828
Tb Ho I O
1 2 1 8
Direct
0.000 0.000 0.500
0.500 0.500 0.748
0.500 0.500 0.252
0.000 0.000 0.000
0.181 0.818 0.207
0.731 0.731 0.000
0.819 0.182 0.207
0.819 0.182 0.793
0.269 0.269 0.000
0.181 0.818 0.793
0.689 0.689 0.500
0.311 0.311 0.500

[8]
HoTeIO4 PBE optimized geometry; ΔE_f (raw) = -1.586 eV per atom; crystal system = monoclinic; total moment = 0.0 μB/cell; total energy = -5.743 eV per atom
1.0
6.690 0.401 -0.178
2.594 6.179 -0.178
1.692 1.199 6.640
Ho Te I O
2 2 2 8
Direct
0.254 0.254 0.867
0.746 0.746 0.133
0.629 0.629 0.738
0.371 0.371 0.262
0.002 0.002 0.253
0.998 0.998 0.747
0.301 0.301 0.534
0.699 0.699 0.466
0.110 0.484 0.137
0.540 0.540 0.193
0.516 0.890 0.863
0.484 0.110 0.137
0.460 0.460 0.807
0.890 0.516 0.863